Cs2GaFeO4 | PBE+U | optimized geometry

## Properties
D(E_F) = 0.00 states/eV/atom
total energy = -85.624 eV per cell

a = 5.215 Å, b = 6.879 Å, c = 11.242 Å
α = 84.96°, β = 76.59°, γ = 67.73°
Atoms (fractional coordinates):
O: 0.632 0.160 0.086
Cs: 0.826 0.000 0.348
O: 0.469 0.660 0.414
O: 0.281 0.840 0.086
O: 0.871 0.660 0.586
O: 0.207 0.160 0.914
O: 0.543 0.340 0.586
Cs: 0.174 0.000 0.652
Ga: 0.750 0.500 0.500
O: 0.118 0.340 0.414
Fe: 0.250 0.500 0.500
O: 0.879 0.840 0.914
Cs: 0.576 0.500 0.848
Cs: 0.924 0.500 0.152
Ga: 0.000 0.000 0.000
Fe: 0.500 0.000 0.000